(1)
Material: Tm5ScHg6
Method: DFT, PBE-GGA
State: optimized geometry

The space group is Cmmm (No. 65) and the conventional cell measures 5.1458, 15.5066 and 7.3132 Å, with angles of 90.00, 90.00 and 90.00 degrees. Symmetry generates all atoms from Tm at (0.0000, 0.0000, 0.0000), Tm at (0.0000, 0.3320, 0.0000), Tm at (0.0000, 0.3345, 0.5000), Sc at (0.0000, 0.0000, 0.5000), Hg at (0.0000, 0.1638, 0.2545) and Hg at (0.0000, 0.5000, 0.2547).

As for the density: 11.9 g/cm³. The calculated formation energy comes out at -467 meV/atom. The density of states at the Fermi level comes out at 17.5 states/eV/cell.



(2)
Material: TmSc2Hg
Method: DFT, PBE-GGA
State: optimized geometry

The space group is P4/mmm (No. 123) and the conventional cell measures 4.5471, 4.5471 and 4.6030 Å, with angles of 90.00, 90.00 and 90.00 degrees. Symmetry generates all atoms from Tm at (0.0000, 0.0000, 0.0000), Sc at (0.0000, 0.5000, 0.5000) and Hg at (0.5000, 0.5000, 0.0000).

As for the density: 8.0 g/cm³. The calculated formation energy comes out at -186 meV/atom. Its offset from the most stable computed form is 1 meV/atom. The density of states at the Fermi level comes out at 4.7 states/eV/cell.



(3)
Material: YTm2ScHg4
Method: DFT, PBE-GGA
State: optimized geometry

The space group is R-3m (No. 166, hexagonal axes) and the conventional cell measures 5.1579, 5.1579 and 25.3570 Å, with angles of 90.00, 90.00 and 120.00 degrees. Symmetry generates all atoms from Y at (0.0000, 0.0000, 0.0000), Tm at (0.0000, 0.0000, 0.2484), Sc at (0.0000, 0.0000, 0.5000), Hg at (0.0000, 0.0000, 0.1267) and Hg at (0.0000, 0.0000, 0.3779).

As for the density: 10.9 g/cm³. The calculated formation energy comes out at -465 meV/atom. The density of states at the Fermi level comes out at 20.8 states/eV/cell.



(4)
Material: YTmSc2Hg4
Method: DFT, PBE-GGA
State: optimized geometry

The space group is R-3m (No. 166, hexagonal axes) and the conventional cell measures 5.1111, 5.1111 and 25.0645 Å, with angles of 90.00, 90.00 and 120.00 degrees. Symmetry generates all atoms from Y at (0.0000, 0.0000, 0.0000), Tm at (0.0000, 0.0000, 0.5000), Sc at (0.0000, 0.0000, 0.2497), Hg at (0.0000, 0.0000, 0.1261) and Hg at (0.0000, 0.0000, 0.3763).

As for the density: 10.1 g/cm³. The calculated formation energy comes out at -454 meV/atom. The density of states at the Fermi level comes out at 22.1 states/eV/cell.



(5)
Material: ScUHg2
Method: DFT, PBE-GGA
State: optimized geometry

The space group is P4/mmm (No. 123) and the conventional cell measures 3.1475, 3.1475 and 9.0727 Å, with angles of 90.00, 90.00 and 90.00 degrees. Symmetry generates all atoms from Sc at (0.0000, 0.0000, 0.0000), U at (0.0000, 0.0000, 0.5000) and Hg at (0.5000, 0.5000, 0.2315).

As for the density: 12.6 g/cm³. The calculated formation energy comes out at -52 meV/atom. The density of states at the Fermi level comes out at 6.9 states/eV/cell.



(6)
Material: ScV3Hg
Method: DFT, PBE-GGA
State: optimized geometry

The space group is Pm-3m (No. 221) and the conventional cell measures 4.5507, 4.5507 and 4.5507 Å, with angles of 90.00, 90.00 and 90.00 degrees. Symmetry generates all atoms from Sc at (0.0000, 0.0000, 0.0000), V at (0.0000, 0.0000, 0.5000) and Hg at (0.5000, 0.5000, 0.5000).

As for the density: 7.0 g/cm³. The calculated formation energy comes out at 1537 meV/atom. Its offset from the most stable computed form is 55 meV/atom. The density of states at the Fermi level comes out at 4.8 states/eV/cell.



(7)
Material: Sc2VHg2
Method: DFT, PBE-GGA
State: optimized geometry

The space group is P4/mbm (No. 127) and the conventional cell measures 7.7478, 7.7478 and 3.6179 Å, with angles of 90.00, 90.00 and 90.00 degrees. Symmetry generates all atoms from Sc at (0.1698, 0.3302, 0.0000), V at (0.0000, 0.0000, 0.5000) and Hg at (0.1347, 0.6347, 0.5000).

As for the density: 8.3 g/cm³. The calculated formation energy comes out at -32 meV/atom. The density of states at the Fermi level comes out at 10.7 states/eV/cell.



(8)
Material: ScV3Hg
Method: DFT, PBE-GGA
State: optimized geometry

The space group is Pm-3m (No. 221) and the conventional cell measures 5.0064, 5.0064 and 5.0064 Å, with angles of 90.00, 90.00 and 90.00 degrees. Symmetry generates all atoms from Sc at (0.0000, 0.0000, 0.0000), V at (0.0000, 0.5000, 0.5000) and Hg at (0.5000, 0.5000, 0.5000).

As for the density: 5.3 g/cm³. The calculated formation energy comes out at 1482 meV/atom. Its offset from the most stable computed form is 0 meV/atom. The density of states at the Fermi level comes out at 11.1 states/eV/cell.



(9)
Material: Sc3VHg
Method: DFT, PBE-GGA
State: optimized geometry

The space group is Pm-3m (No. 221) and the conventional cell measures 5.2588, 5.2588 and 5.2588 Å, with angles of 90.00, 90.00 and 90.00 degrees. Symmetry generates all atoms from Sc at (0.0000, 0.0000, 0.5000), V at (0.5000, 0.5000, 0.5000) and Hg at (0.0000, 0.0000, 0.0000).

As for the density: 4.4 g/cm³. The calculated formation energy comes out at 786 meV/atom. Its offset from the most stable computed form is 377 meV/atom. The density of states at the Fermi level comes out at 8.3 states/eV/cell.



(10)
Material: ScVHg3
Method: DFT, PBE-GGA
State: optimized geometry

The space group is Pm-3m (No. 221) and the conventional cell measures 5.1202, 5.1202 and 5.1202 Å, with angles of 90.00, 90.00 and 90.00 degrees. Symmetry generates all atoms from Sc at (0.0000, 0.0000, 0.0000), V at (0.5000, 0.5000, 0.5000) and Hg at (0.0000, 0.5000, 0.5000).

As for the density: 8.6 g/cm³. The calculated formation energy comes out at 573 meV/atom. Its offset from the most stable computed form is 0 meV/atom. The density of states at the Fermi level comes out at 4.0 states/eV/cell.



(11)
Material: Sc2V2Hg
Method: DFT, PBE-GGA
State: optimized geometry

The space group is P4/mbm (No. 127) and the conventional cell measures 7.3848, 7.3848 and 3.5338 Å, with angles of 90.00, 90.00 and 90.00 degrees. Symmetry generates all atoms from Sc at (0.1970, 0.3030, 0.0000), V at (0.0935, 0.5935, 0.5000) and Hg at (0.0000, 0.0000, 0.5000).

As for the density: 6.8 g/cm³. The calculated formation energy comes out at 138 meV/atom. The density of states at the Fermi level comes out at 13.9 states/eV/cell.



(12)
Material: Sc2VHg
Method: DFT, PBE-GGA
State: optimized geometry

The space group is P4/mmm (No. 123) and the conventional cell measures 3.4837, 3.4837 and 6.7422 Å, with angles of 90.00, 90.00 and 90.00 degrees. Symmetry generates all atoms from Sc at (0.0000, 0.0000, 0.2315), V at (0.5000, 0.5000, 0.0000) and Hg at (0.5000, 0.5000, 0.5000).

As for the density: 6.9 g/cm³. The calculated formation energy comes out at -97 meV/atom. The density of states at the Fermi level comes out at 3.3 states/eV/cell.



Please write out number 8 again, unchanged.
Material: ScV3Hg
Method: DFT, PBE-GGA
State: optimized geometry

The space group is Pm-3m (No. 221) and the conventional cell measures 5.0064, 5.0064 and 5.0064 Å, with angles of 90.00, 90.00 and 90.00 degrees. Symmetry generates all atoms from Sc at (0.0000, 0.0000, 0.0000), V at (0.0000, 0.5000, 0.5000) and Hg at (0.5000, 0.5000, 0.5000).

As for the density: 5.3 g/cm³. The calculated formation energy comes out at 1482 meV/atom. Its offset from the most stable computed form is 0 meV/atom. The density of states at the Fermi level comes out at 11.1 states/eV/cell.